Record 1
The following is a DFT calculation (PBE) of crystalline CeHoPt2 at its relaxed geometry.

Output
**Calculated volume**: 292 Å³ per cell
**Density of states at the Fermi level**: 5.070 states/eV/f.u.
**Total magnetization**: 0.9 Bohr magnetons per cell
**Formation energy from the elements**: -1075 meV per atom

a b c (Å): 4.0259 4.0259 20.8224
angles (deg): 90.00 90.00 120.00
Space group R3m (No. 160, hexagonal axes)
Inequivalent atoms, fractional coordinates:
Ce1 0.0000 0.0000 0.0000 [3 per cell]
Ho1 0.0000 0.0000 0.8282 [3 per cell]
Pt1 0.0000 0.0000 0.4153 [3 per cell]
Pt2 0.0000 0.0000 0.5799 [3 per cell]



Record 2
The following is a DFT calculation (PBE) of crystalline Ce2HoPt9 at its relaxed geometry.

Output
**Calculated volume**: 214 Å³ per cell
**Density of states at the Fermi level**: 5.047 states/eV/f.u.
**Energy above the most stable polymorph in this dataset**: 0 meV/atom
**Total magnetization**: 0.2 Bohr magnetons per cell
**Formation energy from the elements**: -1023 meV per atom

a b c (Å): 4.151 4.151 12.434
angles (deg): 90.00 90.00 90.00
Space group P4/mmm (No. 123)
Inequivalent atoms, fractional coordinates:
Ce1 0.000 0.000 0.169 [2 per cell]
Ho1 0.000 0.000 0.500 [1 per cell]
Pt1 0.000 0.500 0.000 [2 per cell]
Pt2 0.000 0.500 0.334 [4 per cell]
Pt3 0.500 0.500 0.168 [2 per cell]
Pt4 0.500 0.500 0.500 [1 per cell]